1.
# NaLiAs3 PBE relaxed
# - Energy of formation from the pure elements: 721.8 meV/atom
# - E above lowest polymorph: 75.6 kJ per mole of atoms
# - E_tot: -2.715 eV per atom
# - N(E_F): 3.15 states/eV/f.u.
data_NaLiAs3
_chemical_formula_sum 'Na1 Li1 As3'
_cell_length_a 5.0561
_cell_length_b 5.0561
_cell_length_c 5.0561
_cell_angle_alpha 90.00
_cell_angle_beta 90.00
_cell_angle_gamma 90.00
_symmetry_space_group_name_H-M 'P m -3 m'
_symmetry_Int_Tables_number 221
_symmetry_space_group_name_Hall '-P 4 2 3'
loop_
_atom_site_label
_atom_site_fract_x
_atom_site_fract_y
_atom_site_fract_z
Na1 0.0000 0.0000 0.0000
Li1 0.5000 0.5000 0.5000
As1 0.0000 0.0000 0.5000


2.
# LaCuSn2 PBE relaxed
# - Energy of formation from the pure elements: -365.8 meV/atom
# - E_tot: -4.623 eV per atom
# - N(E_F): 1.88 states/eV/f.u.
data_LaCuSn2
_chemical_formula_sum 'La1 Cu1 Sn2'
_cell_length_a 4.6361
_cell_length_b 4.6361
_cell_length_c 4.6206
_cell_angle_alpha 90.00
_cell_angle_beta 90.00
_cell_angle_gamma 90.00
_symmetry_space_group_name_H-M 'P 4/m m m'
_symmetry_Int_Tables_number 123
_symmetry_space_group_name_Hall '-P 4 2'
loop_
_atom_site_label
_atom_site_fract_x
_atom_site_fract_y
_atom_site_fract_z
La1 0.0000 0.0000 0.0000
Cu1 0.5000 0.5000 0.0000
Sn1 0.0000 0.5000 0.5000


no.,size of the total moment (μB/f.u.)
1,0.00
2,0.00